[1]
# Nd2Si4NiRh3 (PBE, relaxed)
data_Nd2Si4NiRh3
_space_group_name_H-M_alt 'P 1'
_space_group_IT_number 1
_space_group_name_Hall 'P 1'
_cell_length_a 4.178
_cell_length_b 4.178
_cell_length_c 9.799
_cell_angle_alpha 90.00
_cell_angle_beta 90.00
_cell_angle_gamma 90.00
loop_
_atom_site_label
_atom_site_fract_x
_atom_site_fract_y
_atom_site_fract_z
_atom_site_occupancy
Ni1 0.500 0.500 0.500 1
Nd1 0.000 0.500 0.752 1
Nd2 0.500 0.000 0.248 1
Si1 0.000 0.500 0.375 1
Si2 0.000 0.000 0.000 1
Si3 0.500 0.500 0.000 1
Si4 0.500 0.000 0.625 1
Rh1 0.000 0.000 0.500 1
Rh2 0.500 0.000 0.873 1
Rh3 0.000 0.500 0.127 1
# ΔE_f (raw) ... -0.94 eV per atom
# D(E_F) ... 0.856 states/eV per atom
# SG ... No. 115
# M_tot ... 0.00 μB/f.u.

=====

[2]
# LiY2HAu (PBE, relaxed)
data_LiY2HAu
_space_group_name_H-M_alt 'P 1'
_space_group_IT_number 1
_space_group_name_Hall 'P 1'
_cell_length_a 4.946
_cell_length_b 4.946
_cell_length_c 3.801
_cell_angle_alpha 90.00
_cell_angle_beta 90.00
_cell_angle_gamma 90.00
loop_
_atom_site_label
_atom_site_fract_x
_atom_site_fract_y
_atom_site_fract_z
_atom_site_occupancy
Li1 0.000 0.000 0.500 1
Au1 0.500 0.500 0.500 1
H1 0.000 0.000 0.000 1
Y1 0.500 0.000 0.000 1
Y2 0.000 0.500 0.000 1
# D(E_F) ... 0.552 states/eV per atom
# SG ... No. 123
# M_tot ... 0.00 μB/f.u.
# E ... -0.177 hartree per atom

=====

[3]
# Ti6H3C2N (PBE, relaxed)
data_Ti6H3C2N
_space_group_name_H-M_alt 'P 1'
_space_group_IT_number 1
_space_group_name_Hall 'P 1'
_cell_length_a 5.318
_cell_length_b 5.318
_cell_length_c 5.143
_cell_angle_alpha 100.09
_cell_angle_beta 100.09
_cell_angle_gamma 119.97
loop_
_atom_site_label
_atom_site_fract_x
_atom_site_fract_y
_atom_site_fract_z
_atom_site_occupancy
H1 0.500 0.500 0.500 1
H2 0.833 0.167 0.500 1
H3 0.167 0.833 0.500 1
Ti1 0.251 0.251 0.768 1
Ti2 0.591 0.921 0.767 1
Ti3 0.749 0.749 0.232 1
Ti4 0.079 0.409 0.233 1
Ti5 0.409 0.079 0.233 1
Ti6 0.921 0.591 0.767 1
C1 0.333 0.667 0.000 1
C2 0.667 0.333 0.000 1
N1 0.000 0.000 0.000 1
# D(E_F) ... 0.616 states/eV per atom
# SG ... No. 12
# M_tot ... 0.00 μB/f.u.
# E ... -0.289 hartree per atom

=====

Look up the D(E_F) of the third one. 0.616 states/eV per atom

=====

Which value of M_tot does entry 3 give? 0.00 μB/f.u.